Density functional theory data (PBE) for a relaxed structure of Sr3Pb3Au2.

abc: 4.8927 11.8618 16.9275
angles: 90.00 90.00 90.00
With the nearest neighbours (Å) after each atom.
Space group Cmcm (No. 63)
One atom of each set of equivalent atoms:
Sr1 0.0000 0.0868 0.1103  3 Au 3.43-3.50, 7 Pb 3.48-3.75
Sr2 0.0000 0.3582 0.2500  5 Pb 3.46-3.66, 4 Au 3.46
Pb1 0.0000 0.3503 0.7500  2 Au 2.93
Pb2 0.0000 0.3731 0.0341  3 Au 2.92-3.19, 1 Pb 3.22
Au1 0.0000 0.2021 0.6116  4 Pb 2.92-3.19

Uncorrected energy   -3.42 eV per atom
Fermi-level density of states   16.00 states/eV/cell
Calculated formation energy   -0.58 eV/atom
Crystal system   orthorhombic

Density functional theory data (PBE) for a relaxed structure of SrSc2Ti.

abc: 10.2601 10.2601 10.2601
angles: 90.00 90.00 90.00
With the nearest neighbours (Å) after each atom.
Space group Fd-3m (No. 227, origin choice 2)
One atom of each set of equivalent atoms:
Sr1 0.1250 0.1250 0.1250  12 Sc 4.25, 4 Ti 4.44, 4 Sr 4.44
Sc1 0.0000 0.0000 0.5000  2 Ti 2.22
Ti1 0.1250 0.1250 0.6250  4 Sc 2.22

Uncorrected energy   -4.41 eV per atom
Fermi-level density of states   0.55 states/eV/cell
Energy relative to the lowest polymorph listed for this composition   744 meV/atom
Calculated formation energy   1.15 eV/atom
Crystal system   cubic

Density functional theory data (PBE) for a relaxed structure of BiRuRh.

abc: 3.1665 3.1665 12.6975
angles: 90.00 90.00 120.00
With the nearest neighbours (Å) after each atom.
Space group P-6m2 (No. 187)
One atom of each set of equivalent atoms:
Bi1 0.0000 0.0000 0.1729  3 Rh 2.86, 3 Ru 2.90, 6 Bi 3.17
Ru1 0.6667 0.3333 0.3505  3 Rh 2.64, 3 Bi 2.90
Rh1 0.3333 0.6667 0.0000  6 Bi 2.86, 6 Rh 3.17
Rh2 0.3333 0.6667 0.5000  6 Ru 2.64

Uncorrected energy   -6.30 eV per atom
Fermi-level density of states   9.06 states/eV/cell
Calculated formation energy   0.53 eV/atom
Crystal system   hexagonal